Entry a
# HoThMgSc

A geometry-optimized HoThMgSc structure (PBE-GGA, the Alexandria database).

For the total magnetization, the calculation gives 0.1 μB per cell.

The structure belongs to space group F-43m (No. 216); the cell edges are 7.642, 7.642 and 7.642 Å and the angles 90.00°, 90.00° and 90.00°. The inequivalent atoms are Ho at (0.000, 0.000, 0.000), Th at (0.000, 0.000, 0.500), Mg at (0.250, 0.250, 0.750) and Sc at (0.250, 0.250, 0.250).

Entry b
# HoThMgSc

A geometry-optimized HoThMgSc structure (PBE-GGA, the Alexandria database).

For the total magnetization, the calculation gives 0.0 μB per cell.

The structure belongs to space group I4mm (No. 107); the cell edges are 3.406, 3.406 and 20.782 Å and the angles 90.00°, 90.00° and 90.00°. The inequivalent atoms are Ho at (0.000, 0.000, 0.000), Th at (0.000, 0.000, 0.622), Mg at (0.000, 0.000, 0.385) and Sc at (0.000, 0.000, 0.233).

Stability comparison, relative energies in eV/atom: entry a 0.000; entry b 0.104

Entry a
# HoMgScZn

A geometry-optimized HoMgScZn structure (PBE-GGA, the Alexandria database).

For the total magnetization, the calculation gives 0.0 μB per cell.

The structure belongs to space group F-43m (No. 216); the cell edges are 7.121, 7.121 and 7.121 Å and the angles 90.00°, 90.00° and 90.00°. The inequivalent atoms are Ho at (0.000, 0.000, 0.000), Mg at (0.250, 0.250, 0.750), Sc at (0.000, 0.000, 0.500) and Zn at (0.250, 0.250, 0.250).

Entry b
# HoMgScZn

A geometry-optimized HoMgScZn structure (PBE-GGA, the Alexandria database).

For the total magnetization, the calculation gives 0.0 μB per cell.

The structure belongs to space group P4mm (No. 99); the cell edges are 3.464, 3.464 and 7.626 Å and the angles 90.00°, 90.00° and 90.00°. The inequivalent atoms are Ho at (0.000, 0.000, 0.000), Mg at (0.500, 0.500, 0.295), Sc at (0.000, 0.000, 0.558) and Zn at (0.500, 0.500, 0.756).

Stability comparison, relative energies in eV/atom: entry a 0.034; entry b 0.000

Entry a
# HoMgZrSc

A geometry-optimized HoMgZrSc structure (PBE-GGA, the Alexandria database).

For the total magnetization, the calculation gives 0.0 μB per cell.

The structure belongs to space group Amm2 (No. 38); the cell edges are 3.215, 3.209 and 19.854 Å and the angles 90.00°, 90.00° and 90.00°. The inequivalent atoms are Ho at (0.000, 0.000, 0.000), Mg at (0.500, 0.000, 0.374), Zr at (0.500, 0.000, 0.145) and Sc at (0.000, 0.000, 0.753).

Entry b
# HoMgZrSc

A geometry-optimized HoMgZrSc structure (PBE-GGA, the Alexandria database).

For the total magnetization, the calculation gives 4.3 μB per cell.

The structure belongs to space group F-43m (No. 216); the cell edges are 7.340, 7.340 and 7.340 Å and the angles 90.00°, 90.00° and 90.00°. The inequivalent atoms are Ho at (0.000, 0.000, 0.000), Mg at (0.250, 0.250, 0.250), Zr at (0.000, 0.000, 0.500) and Sc at (0.250, 0.250, 0.750).

Stability comparison, relative energies in eV/atom: entry a 0.000; entry b 0.026

Entry a
# Ho4MgSe5

A geometry-optimized Ho4MgSe5 structure (PBE-GGA, the Alexandria database).

For the total magnetization, the calculation gives 0.0 μB per cell.

The structure belongs to space group I4/m (No. 87); the cell edges are 9.023, 9.023 and 5.698 Å and the angles 90.00°, 90.00° and 90.00°. The inequivalent atoms are Ho at (0.095, 0.692, 0.000), Mg at (0.000, 0.000, 0.500), Se at (0.000, 0.000, 0.000) and Se at (0.099, 0.716, 0.500).

Entry b
# Ho4MgSe5

A geometry-optimized Ho4MgSe5 structure (PBE-GGA, the Alexandria database).

For the total magnetization, the calculation gives 0.0 μB per cell.

The structure belongs to space group R-3m (No. 166, hexagonal axes); the cell edges are 4.0035, 4.0035 and 50.2172 Å and the angles 90.00°, 90.00° and 120.00°. The inequivalent atoms are Ho at (0.0000, 0.0000, 0.0986), Ho at (0.0000, 0.0000, 0.2983), Mg at (0.0000, 0.0000, 0.5000), Se at (0.0000, 0.0000, 0.0000), Se at (0.0000, 0.0000, 0.1978) and Se at (0.0000, 0.0000, 0.4005).

Stability comparison, relative energies in eV/atom: entry a 0.018; entry b 0.000

Entry a
# HoMgSe2

A geometry-optimized HoMgSe2 structure (PBE-GGA, the Alexandria database).

For the total magnetization, the calculation gives 2.4 μB per cell.

The structure belongs to space group R3m (No. 160, hexagonal axes); the cell edges are 3.8868, 3.8868 and 20.7334 Å and the angles 90.00°, 90.00° and 120.00°. The inequivalent atoms are Ho at (0.0000, 0.0000, 0.0000), Mg at (0.0000, 0.0000, 0.8326), Se at (0.0000, 0.0000, 0.2441) and Se at (0.0000, 0.0000, 0.4246).

Entry b
# HoMgSe2

A geometry-optimized HoMgSe2 structure (PBE-GGA, the Alexandria database).

For the total magnetization, the calculation gives 0.0 μB per cell.

The structure belongs to space group R-3m (No. 166, hexagonal axes); the cell edges are 3.8836, 3.8836 and 20.5938 Å and the angles 90.00°, 90.00° and 120.00°. The inequivalent atoms are Ho at (0.0000, 0.0000, 0.0000), Mg at (0.0000, 0.0000, 0.5000) and Se at (0.0000, 0.0000, 0.2441).

Stability comparison, relative energies in eV/atom: entry a 0.000; entry b 0.019

Entry a
# Sm12Ho6Mg

A geometry-optimized Sm12Ho6Mg structure (PBE-GGA, the Alexandria database).

For the total magnetization, the calculation gives 0.0 μB per cell.

The structure belongs to space group R-3 (No. 148, hexagonal axes); the cell edges are 11.9962, 11.9962 and 15.1485 Å and the angles 90.00°, 90.00° and 120.00°. The inequivalent atoms are Sm at (0.0044, 0.1765, 0.3123), Sm at (0.0461, 0.8479, 0.9156), Ho at (0.0203, 0.4296, 0.1896) and Mg at (0.0000, 0.0000, 0.5000).

Entry b
# Sm12Ho6Mg

A geometry-optimized Sm12Ho6Mg structure (PBE-GGA, the Alexandria database).

For the total magnetization, the calculation gives 0.0 μB per cell.

The structure belongs to space group R-3m (No. 166, hexagonal axes); the cell edges are 13.0305, 13.0305 and 12.9743 Å and the angles 90.00°, 90.00° and 120.00°. The inequivalent atoms are Sm at (0.0000, 0.2614, 0.0000), Sm at (0.0582, 0.5291, 0.1111), Ho at (0.0901, 0.1801, 0.7736) and Mg at (0.0000, 0.0000, 0.0000).

Stability comparison, relative energies in eV/atom: entry a 0.000; entry b 0.007